Compound: TaFe2Ru
Source: Alexandria via LeMat-Bulk
Functional: GGA-PBEsol
Structure: relaxed

Computed properties:
The energy above the most stable polymorph in this dataset comes out at 0.0046 eV per atom. Its energy of formation is -0.092 eV/atom.

Cell: 3.0380 3.0380 5.7790 Å, 90.00 90.00 90.00°
With the nearest neighbours (Å) after each atom.
Sites, in units of the cell vectors:
1 Ru 0.0000 0.0000 0.4930  5 Fe 2.62-2.77, 4 Ta 2.64
2 Fe 0.0000 0.0000 0.0135  4 Fe 2.50, 4 Ta 2.60, 1 Ru 2.77
3 Fe 0.5000 0.5000 0.2346  4 Fe 2.50, 4 Ru 2.62, 1 Ta 2.75
4 Ta 0.5000 0.5000 0.7589  5 Fe 2.60-2.75, 4 Ru 2.64

Compound: TaFe2Ru
Source: Alexandria via LeMat-Bulk
Functional: GGA-PBEsol
Structure: relaxed

Computed properties:
The energy above the most stable polymorph in this dataset comes out at 0.1800 eV per atom. Its energy of formation is 0.084 eV/atom.

Cell: 2.6606 4.1310 4.9970 Å, 90.00 103.05 90.00°
With the nearest neighbours (Å) after each atom.
Sites, in units of the cell vectors:
1 Fe 0.7540 0.0000 0.7578  4 Fe 2.48-2.66, 2 Ru 2.56, 2 Ta 2.60
2 Fe 0.2460 0.0000 0.2422  4 Fe 2.48-2.66, 2 Ru 2.56, 2 Ta 2.60
3 Ru 0.5000 0.5000 0.0000  2 Ta 2.55, 4 Fe 2.56, 2 Ru 2.66
4 Ta 0.0000 0.5000 0.5000  2 Ru 2.55, 4 Fe 2.60, 2 Ta 2.66

Compound: TaFeRu2
Source: Alexandria via LeMat-Bulk
Functional: GGA-PBEsol
Structure: relaxed

Computed properties:
The energy above the most stable polymorph in this dataset comes out at 0.3143 eV per atom. Its energy of formation is 0.186 eV/atom.

Cell: 2.7400 2.7400 8.7551 Å, 81.00 81.00 60.00°
With the nearest neighbours (Å) after each atom.
Sites, in units of the cell vectors:
1 Fe 0.0000 0.0000 0.0000  6 Ru 2.56, 6 Fe 2.74
2 Ru 0.2556 0.2556 0.2332  3 Fe 2.56, 6 Ru 2.74, 3 Ta 2.79
3 Ru 0.7444 0.7444 0.7668  3 Fe 2.56, 6 Ru 2.74, 3 Ta 2.79
4 Ta 0.5000 0.5000 0.5000  6 Ta 2.74, 6 Ru 2.79

Compound: TaFeRu2
Source: Alexandria via LeMat-Bulk
Functional: GGA-PBEsol
Structure: relaxed

Computed properties:
The energy above the most stable polymorph in this dataset comes out at 0.0021 eV per atom. Its energy of formation is -0.126 eV/atom.

Cell: 4.3108 4.3108 4.3108 Å, 60.00 60.00 60.00°
With the nearest neighbours (Å) after each atom.
Sites, in units of the cell vectors:
1 Ru 0.2500 0.2500 0.2500  4 Ta 2.64, 4 Fe 2.64
2 Ru 0.7500 0.7500 0.7500  4 Ta 2.64, 4 Fe 2.64
3 Fe 0.0000 0.0000 0.0000  8 Ru 2.64
4 Ta 0.5000 0.5000 0.5000  8 Ru 2.64

Compound: TaFeRu2
Source: Alexandria via LeMat-Bulk
Functional: GGA-PBEsol
Structure: relaxed

Computed properties:
The energy above the most stable polymorph in this dataset comes out at 0.1418 eV per atom. Its energy of formation is 0.014 eV/atom.

Cell: 3.1023 4.1937 5.0259 Å, 114.66 107.98 90.00°
With the nearest neighbours (Å) after each atom.
Sites, in units of the cell vectors:
1 Fe 0.2501 0.7501 0.5003  6 Ru 2.58-2.61, 2 Ta 2.60
2 Ru 0.9899 0.9899 0.9798  2 Fe 2.58, 4 Ta 2.61, 2 Ru 2.74
3 Ru 0.7531 0.2531 0.5062  4 Fe 2.61, 2 Ta 2.68, 2 Ru 2.74
4 Ta 0.5069 0.5069 0.0137  2 Fe 2.60, 6 Ru 2.61-2.68

Compound: TaFeRu3
Source: Alexandria via LeMat-Bulk
Functional: GGA-PBEsol
Structure: relaxed

Computed properties:
Its energy of formation is 1.202 eV/atom.

Cell: 4.2837 4.2837 4.2837 Å, 90.00 90.00 90.00°
With the nearest neighbours (Å) after each atom.
Sites, in units of the cell vectors:
1 Ru 0.0000 0.5000 0.0000  2 Fe 2.14
2 Ru 0.0000 0.0000 0.5000  2 Fe 2.14
3 Ru 0.5000 0.0000 0.0000  2 Fe 2.14
4 Fe 0.0000 0.0000 0.0000  6 Ru 2.14
5 Ta 0.5000 0.5000 0.5000  12 Ru 3.03

Compound: TaFe2Ru
Source: Alexandria via LeMat-Bulk
Functional: GGA-PBEsol
Structure: relaxed

Computed properties:
The energy above the most stable polymorph in this dataset comes out at 0.0076 eV per atom. Its energy of formation is -0.089 eV/atom.

Cell: 3.1250 4.1326 4.1201 Å, 90.00 90.00 90.00°
With the nearest neighbours (Å) after each atom.
Sites, in units of the cell vectors:
1 Ru 0.5000 0.0000 0.5000  4 Fe 2.59, 4 Ta 2.59
2 Fe 0.0000 0.0000 0.0000  4 Ru 2.59, 4 Fe 2.59
3 Fe 0.5000 0.5000 0.0000  4 Ta 2.59, 4 Fe 2.59
4 Ta 0.0000 0.5000 0.5000  4 Fe 2.59, 4 Ru 2.59

Compound: Fe4TcRu
Source: Alexandria via LeMat-Bulk
Functional: GGA-PBEsol
Structure: relaxed

Computed properties:
Its energy of formation is 0.034 eV/atom.

Cell: 4.5846 4.5846 4.5846 Å, 60.00 60.00 60.00°
With the nearest neighbours (Å) after each atom.
Sites, in units of the cell vectors:
1 Fe 0.6245 0.6245 0.1266  6 Fe 2.28-2.30
2 Fe 0.1266 0.6245 0.6245  6 Fe 2.28-2.30
3 Fe 0.6245 0.1266 0.6245  6 Fe 2.28-2.30
4 Fe 0.6245 0.6245 0.6245  6 Fe 2.28-2.30
5 Ru 0.2500 0.2500 0.2500  12 Fe 2.69, 4 Tc 2.81
6 Tc 0.0000 0.0000 0.0000  12 Fe 2.69, 4 Ru 2.81

Compound: Fe2TeRu
Source: Alexandria via LeMat-Bulk
Functional: GGA-PBEsol
Structure: relaxed

Computed properties:
The calculation puts the uncorrected formation energy at 351.8 meV/atom.

Cell: 3.9552 3.7408 3.7408 Å, 90.00 90.00 90.00°
With the nearest neighbours (Å) after each atom.
Sites, in units of the cell vectors:
1 Fe 0.0000 0.0000 0.5000  4 Fe 2.65, 4 Ru 2.72, 4 Te 2.72
2 Fe 0.0000 0.5000 0.0000  4 Fe 2.65, 4 Ru 2.72, 4 Te 2.72
3 Ru 0.5000 0.5000 0.5000  4 Te 2.65, 8 Fe 2.72
4 Te 0.5000 0.0000 0.0000  4 Ru 2.65, 8 Fe 2.72

Compound: Fe2TeRu
Source: Alexandria via LeMat-Bulk
Functional: GGA-PBEsol
Structure: relaxed

Computed properties:
The calculation puts the uncorrected formation energy at 295.4 meV/atom.

Cell: 3.9805 3.9805 4.4506 Å, 116.56 116.56 90.00°
With the nearest neighbours (Å) after each atom.
Sites, in units of the cell vectors:
1 Fe 0.0000 0.0000 0.0000  4 Fe 2.63, 4 Te 2.63, 4 Ru 2.81
2 Fe 0.7500 0.2500 0.5000  4 Fe 2.63, 4 Ru 2.63, 4 Te 2.81
3 Ru 0.5000 0.5000 0.0000  8 Fe 2.63-2.81, 4 Te 2.63
4 Te 0.2500 0.7500 0.5000  8 Fe 2.63-2.81, 4 Ru 2.63

Compound: Fe2TeRu
Source: Alexandria via LeMat-Bulk
Functional: GGA-PBEsol
Structure: relaxed

Computed properties:
The calculation puts the uncorrected formation energy at 530.3 meV/atom.

Cell: 2.9960 2.9960 7.8598 Å, 79.01 79.01 60.00°
With the nearest neighbours (Å) after each atom.
Sites, in units of the cell vectors:
1 Fe 0.0059 0.0059 0.9824  3 Fe 2.43, 3 Te 2.65
2 Fe 0.7468 0.7468 0.7597  3 Fe 2.43, 3 Ru 2.55
3 Ru 0.4952 0.4952 0.5145  3 Fe 2.55, 3 Te 2.70
4 Te 0.2522 0.2522 0.2434  3 Fe 2.65, 3 Ru 2.70

Compound: Fe2TeRu
Source: Alexandria via LeMat-Bulk
Functional: GGA-PBEsol
Structure: relaxed

Computed properties:
The calculation puts the uncorrected formation energy at 361.6 meV/atom.

Cell: 3.7886 3.7886 4.5028 Å, 114.88 114.88 90.00°
With the nearest neighbours (Å) after each atom.
Sites, in units of the cell vectors:
1 Fe 0.7500 0.2500 0.5000  4 Te 2.62, 4 Ru 2.62, 4 Fe 2.68
2 Fe 0.2500 0.7500 0.5000  4 Te 2.62, 4 Ru 2.62, 4 Fe 2.68
3 Ru 0.5000 0.5000 0.0000  8 Fe 2.62, 4 Te 2.68
4 Te 0.0000 0.0000 0.0000  8 Fe 2.62, 4 Ru 2.68

Number 1: E -10.2543 eV per atom. Number 2: E -10.0789 eV per atom. Number 3: E -10.2784 eV per atom. Number 4: E -10.5906 eV per atom. Number 5: E -10.4509 eV per atom. Number 6: E -9.2039 eV per atom. Number 7: E -10.2513 eV per atom. Number 8: E -9.5150 eV per atom. Number 9: E -7.5546 eV per atom. Number 10: E -7.6110 eV per atom. Number 11: E -7.3761 eV per atom. Number 12: E -7.5448 eV per atom.